# NiPt2O6

A geometry-optimized NiPt2O6 structure (PBE+U, Alexandria).

Cell: 4.284 5.207 5.207 Å, 120.00 90.00 90.00°
Each line ends with the local moment (μB).
Positions (direct):
Ni: 0.000 0.000 0.000  1.79
Pt: 0.500 0.667 0.333  0.32
Pt: 0.500 0.333 0.667  0.32
O: 0.748 0.653 0.653  0.23
O: 0.252 0.653 0.000  0.23
O: 0.252 0.000 0.653  0.23
O: 0.748 0.347 0.000  0.23
O: 0.252 0.347 0.347  0.23
O: 0.748 0.000 0.347  0.23

Properties
M_tot: 4.1 μB/f.u.
E: -5.41 eV/atom